# 1
This record from Alexandria via LeMat-Bulk describes a relaxed BaLa2GaOs crystal. The functional is GGA-PBE.

Values from the calculation:
As for the crystal system: tetragonal. Its total energy is -5.3261 eV per atom.

Lattice parameters (Å, degrees): 5.6199 5.6199 5.1328 90.00 90.00 90.00
Last column: nearest neighbours and their distance in Å.
Space group P4/mmm (No. 123)
One atom of each set of equivalent atoms:
Ba: 0.0000 0.0000 0.0000  8 La 3.81, 4 Ga 3.97
La: 0.0000 0.5000 0.5000  2 Os 2.81
Ga: 0.5000 0.5000 0.0000  2 Os 2.57
Os: 0.5000 0.5000 0.5000  2 Ga 2.57, 4 La 2.81



# 2
This record from Alexandria via LeMat-Bulk describes a relaxed Pa2ZnPd5 crystal. The functional is GGA-PBE.

Values from the calculation:
As for the crystal system: orthorhombic. Its total energy is -5.8832 eV per atom.

Lattice parameters (Å, degrees): 3.0117 15.9504 13.6074 90.00 90.00 90.00
Last column: nearest neighbours and their distance in Å.
Space group Cmcm (No. 63)
One atom of each set of equivalent atoms:
Pa: 0.0000 0.1044 0.0619  6 Pd 2.69-2.99
Zn: 0.0000 0.1785 0.7500  6 Pd 2.48-2.74
Pd: 0.0000 0.0534 0.6308  1 Zn 2.57, 2 Pa 2.69-2.74
Pd: 0.0000 0.1776 0.2500  2 Zn 2.74, 2 Pa 2.81, 6 Pd 2.98-3.01
Pd: 0.0000 0.2436 0.5848  1 Zn 2.48, 2 Pd 2.76



# 3
This record from Alexandria via LeMat-Bulk describes a relaxed Pm4TcCl5 crystal. The functional is GGA-PBE.

Values from the calculation:
As for the crystal system: monoclinic. Its total energy is -5.3828 eV per atom. As for the energy relative to the elements, uncorrected: -1469 kJ/mol of formula units.

Lattice parameters (Å, degrees): 18.0636 3.8489 9.2196 90.00 107.39 90.00
Last column: nearest neighbours and their distance in Å.
Space group C2/m (No. 12)
One atom of each set of equivalent atoms:
Pm: 0.0051 0.0000 0.2464  4 Cl 2.86-3.05, 2 Tc 2.96
Pm: 0.1493 0.5000 0.0844  1 Tc 2.57, 2 Cl 2.85
Tc: 0.0000 0.5000 0.0000  2 Pm 2.57
Cl: 0.0000 0.5000 0.5000  4 Pm 3.05
Cl: 0.1678 0.0000 0.8617  4 Pm 2.91-3.19
Cl: 0.1704 0.0000 0.3220  3 Pm 2.85-2.86



# 4
This record from Alexandria via LeMat-Bulk describes a relaxed ThMg2Ga2Co crystal. The functional is GGA-PBE.

Values from the calculation:
As for the crystal system: tetragonal. Its total energy is -3.6528 eV per atom.

Lattice parameters (Å, degrees): 4.9088 4.9088 11.1426 90.00 90.00 90.00
Last column: nearest neighbours and their distance in Å.
Space group I4/mmm (No. 139)
One atom of each set of equivalent atoms:
Th: 0.0000 0.0000 0.0000  2 Ga 3.35, 4 Co 3.47, 8 Mg 3.71
Mg: 0.0000 0.5000 0.2500  4 Ga 2.52
Ga: 0.0000 0.0000 0.3007  1 Co 2.22
Co: 0.0000 0.0000 0.5000  2 Ga 2.22



# 5
This record from Alexandria via LeMat-Bulk describes a relaxed ErSc2Ge2 crystal. The functional is GGA-PBE.

Values from the calculation:
As for the crystal system: monoclinic. Its total energy is -5.8377 eV per atom.

Lattice parameters (Å, degrees): 5.0215 3.8629 11.5649 90.00 96.33 90.00
Last column: nearest neighbours and their distance in Å.
Space group P2_1/m (No. 11)
One atom of each set of equivalent atoms:
Er: 0.1861 0.2500 0.2429  6 Ge 3.03-3.36, 2 Sc 3.35
Sc: 0.2470 0.7500 0.4807  4 Ge 2.83-3.00
Sc: 0.3406 0.2500 0.8952  5 Ge 2.56-2.78
Ge: 0.1560 0.7500 0.0400  4 Sc 2.56-2.78, 2 Ge 2.59
Ge: 0.2898 0.2500 0.6610  5 Sc 2.69-3.00



# 6
This record from Alexandria via LeMat-Bulk describes a relaxed BeZnFe crystal. The functional is GGA-PBE.

Values from the calculation:
As for the crystal system: trigonal. The value obtained for the relative energy among the computed polymorphs is 0.0504 eV/atom. Its total energy is -4.4336 eV per atom.

Lattice parameters (Å, degrees): 3.8881 3.8881 2.5270 90.00 90.00 120.00
Last column: nearest neighbours and their distance in Å.
Space group P3m1 (No. 156)
One atom of each set of equivalent atoms:
Be: 0.0000 0.0000 0.0000  3 Zn 2.24
Zn: 0.6667 0.3333 0.9973  3 Be 2.24
Fe: 0.3333 0.6667 0.4979  2 Fe 2.53, 6 Be 2.57-2.58, 6 Zn 2.58



# 7
This record from Alexandria via LeMat-Bulk describes a relaxed MgWCl2 crystal. The functional is GGA-PBE.

Values from the calculation:
As for the crystal system: monoclinic. The value obtained for the relative energy among the computed polymorphs is 0.1275 eV/atom. Its total energy is -4.6332 eV per atom. As for the energy relative to the elements, uncorrected: -28 kJ/mol of formula units.

Lattice parameters (Å, degrees): 14.7473 2.9979 5.0625 90.00 107.66 90.00
Last column: nearest neighbours and their distance in Å.
Space group C2/m (No. 12)
One atom of each set of equivalent atoms:
Mg: 0.0000 0.0000 0.0000  4 W 2.94, 2 Mg 3.00, 2 Cl 3.11
W: 0.0000 0.5000 0.5000  4 Cl 2.49
Cl: 0.1414 0.0000 0.6513  2 W 2.49



# 8
This record from Alexandria via LeMat-Bulk describes a relaxed CaAl3Ge crystal. The functional is GGA-PBE.

Values from the calculation:
As for the crystal system: cubic. The value obtained for the relative energy among the computed polymorphs is 1.5661 eV/atom. Its total energy is -2.2379 eV per atom.

Lattice parameters (Å, degrees): 5.4686 5.4686 5.4686 90.00 90.00 90.00
Last column: nearest neighbours and their distance in Å.
Space group Pm-3m (No. 221)
One atom of each set of equivalent atoms:
Ca: 0.0000 0.0000 0.0000  6 Al 2.73
Al: 0.0000 0.0000 0.5000  2 Ca 2.73
Ge: 0.5000 0.5000 0.5000  12 Al 3.87